! CsBeCr2O8 GGA+U relaxed; values from VASP
! raw total energy	-6.286	eV per atom
&SYSTEM
  ibrav = 0, nat = 12, ntyp = 4
/
ATOMIC_SPECIES
Cs 132.91 Cs.upf
Be 9.01 Be.upf
Cr 52.00 Cr.upf
O 16.00 O.upf
ATOMIC_POSITIONS crystal
Cs 0.500 0.500 0.500
Be 0.000 0.000 0.000
Cr 0.272 0.272 0.185
Cr 0.728 0.728 0.815
O 0.208 0.208 0.376
O 0.637 0.129 0.122
O 0.792 0.792 0.624
O 0.112 0.637 0.122
O 0.888 0.363 0.878
O 0.129 0.112 0.122
O 0.871 0.888 0.878
O 0.363 0.871 0.878
CELL_PARAMETERS angstrom
-4.487 2.238 1.647
-4.234 -2.992 0.985
-0.350 -1.167 9.087